The following is a DFT calculation (GGA-PBE) of a relaxed structure of LaSc2Ni.

a = 3.380 Å, b = 3.380 Å, c = 8.220 Å
α = 90.00°, β = 90.00°, γ = 90.00°
Atoms (fractional coordinates):
La  0.000  0.000  0.000
Sc  0.000  0.000  0.396
Sc  0.500  0.500  0.668
Ni  0.500  0.500  0.246

Output
Formation enthalpy at 0 K (eV per atom): -0.1138
DOS at the Fermi energy (states/eV per atom): 1.436
Energy (eV per atom): -5.957